# CaTiSb2Se (PBE-GGA, optimized geometry)
# Total DFT energy (no corrections) in eV/cell: -21.37
# DOS(E_F) in states/eV/f.u.: 5.2
data_CaTiSb2Se
_space_group_name_H-M_alt 'P 4/m m m'
_space_group_IT_number 123
_space_group_name_Hall '-P 4 2'
_cell_length_a 5.056
_cell_length_b 5.056
_cell_length_c 6.519
_cell_angle_alpha 90.00
_cell_angle_beta 90.00
_cell_angle_gamma 90.00
loop_
_atom_site_label
_atom_site_type_symbol
_atom_site_fract_x
_atom_site_fract_y
_atom_site_fract_z
Ca1 Ca 0.000 0.000 0.000
Ti1 Ti 0.000 0.000 0.500
Sb1 Sb 0.000 0.500 0.500
Se1 Se 0.500 0.500 0.000

# Cs3AsPt (PBE-GGA, optimized geometry)
# DOS(E_F) in states/eV/f.u.: 5.3
# ΔH_f (0 K) in eV/atom: -0.21
data_Cs3AsPt
_space_group_name_H-M_alt 'P 1 21/c 1'
_space_group_IT_number 14
_cell_length_a 7.246
_cell_length_b 10.211
_cell_length_c 11.656
_cell_angle_alpha 90.00
_cell_angle_beta 91.32
_cell_angle_gamma 90.00
loop_
_space_group_symop_operation_xyz
'x,y,z'
'-x,-y,-z'
'-x,y+1/2,-z+1/2'
'x,-y+1/2,z+1/2'
loop_
_atom_site_label
_atom_site_type_symbol
_atom_site_fract_x
_atom_site_fract_y
_atom_site_fract_z
Cs1 Cs 0.233 0.190 0.381
Cs2 Cs 0.262 0.532 0.160
Cs3 Cs 0.264 0.550 0.600
As1 As 0.115 0.697 0.876
Pt1 Pt 0.433 0.742 0.874

# Bi2PbO (PBE-GGA, optimized geometry)
# Total DFT energy (no corrections) in eV/cell: -69.28
# DOS(E_F) in states/eV/f.u.: 1.4
data_Bi2PbO
_space_group_name_H-M_alt 'I -4 2 d'
_space_group_IT_number 122
_space_group_name_Hall 'I -4 2bw'
_cell_length_a 6.010
_cell_length_b 6.010
_cell_length_c 13.602
_cell_angle_alpha 90.00
_cell_angle_beta 90.00
_cell_angle_gamma 90.00
loop_
_atom_site_label
_atom_site_type_symbol
_atom_site_fract_x
_atom_site_fract_y
_atom_site_fract_z
Bi1 Bi 0.129 0.250 0.125
Pb1 Pb 0.000 0.000 0.500
O1 O 0.000 0.000 0.000

# Ho3Be2Si3 (PBE-GGA, optimized geometry)
# Total DFT energy (no corrections) in eV/cell: -169.59
# DOS(E_F) in states/eV/f.u.: 4.2
data_Ho3Be2Si3
_space_group_name_H-M_alt 'C m c m'
_space_group_IT_number 63
_space_group_name_Hall '-C 2c 2'
_cell_length_a 3.844
_cell_length_b 10.454
_cell_length_c 14.572
_cell_angle_alpha 90.00
_cell_angle_beta 90.00
_cell_angle_gamma 90.00
loop_
_atom_site_label
_atom_site_type_symbol
_atom_site_fract_x
_atom_site_fract_y
_atom_site_fract_z
Ho1 Ho 0.000 0.052 0.250
Ho2 Ho 0.000 0.353 0.093
Be1 Be 0.000 0.359 0.619
Si1 Si 0.000 0.078 0.058
Si2 Si 0.000 0.230 0.750

# TlBiBr3 (PBE-GGA, optimized geometry)
# Total DFT energy (no corrections) in eV/cell: -28.70
# DOS(E_F) in states/eV/f.u.: 0.8
data_TlBiBr3
_space_group_name_H-M_alt 'P 1'
_space_group_IT_number 1
_cell_length_a 5.075
_cell_length_b 8.175
_cell_length_c 9.187
_cell_angle_alpha 82.89
_cell_angle_beta 89.83
_cell_angle_gamma 84.55
loop_
_space_group_symop_operation_xyz
'x,y,z'
loop_
_atom_site_label
_atom_site_type_symbol
_atom_site_fract_x
_atom_site_fract_y
_atom_site_fract_z
Tl1 Tl 0.000 0.000 0.000
Tl2 Tl 0.478 0.281 0.403
Bi1 Bi 0.490 0.818 0.546
Bi2 Bi 0.991 0.463 0.858
Br1 Br 0.020 0.018 0.580
Br2 Br 0.460 0.262 0.823
Br3 Br 0.505 0.926 0.239
Br4 Br 0.521 0.719 0.868
Br5 Br 0.959 0.561 0.536
Br6 Br 0.974 0.355 0.164

# HfMoC2 (PBE-GGA, optimized geometry)
# DOS(E_F) in states/eV/f.u.: 1.5
# ΔH_f (0 K) in eV/atom: -0.43
data_HfMoC2
_space_group_name_H-M_alt 'R -3 m'
_space_group_IT_number 166
_space_group_name_Hall '-R 3 2"'
_cell_length_a 3.1750
_cell_length_b 3.1750
_cell_length_c 15.6521
_cell_angle_alpha 90.00
_cell_angle_beta 90.00
_cell_angle_gamma 120.00
loop_
_atom_site_label
_atom_site_type_symbol
_atom_site_fract_x
_atom_site_fract_y
_atom_site_fract_z
Hf1 Hf 0.0000 0.0000 0.0000
Mo1 Mo 0.0000 0.0000 0.5000
C1 C 0.0000 0.0000 0.2466

# Ag2IrBr (PBE-GGA, optimized geometry)
# Total DFT energy (no corrections) in eV/cell: -50.39
# DOS(E_F) in states/eV/f.u.: 3.3
data_Ag2IrBr
_space_group_name_H-M_alt 'F m -3 m'
_space_group_IT_number 225
_space_group_name_Hall '-F 4 2 3'
_cell_length_a 6.751
_cell_length_b 6.751
_cell_length_c 6.751
_cell_angle_alpha 90.00
_cell_angle_beta 90.00
_cell_angle_gamma 90.00
loop_
_atom_site_label
_atom_site_type_symbol
_atom_site_fract_x
_atom_site_fract_y
_atom_site_fract_z
Ag1 Ag 0.250 0.250 0.250
Ir1 Ir 0.000 0.000 0.000
Br1 Br 0.000 0.000 0.500

Look up the DOS(E_F) of the first one.
5.2 states/eV/f.u.

DOS(E_F) of number 6 (HfMoC2)?
1.5 states/eV/f.u.